P.
Computed, not measured: an optimized crystal structure of Pa2ZnRe at the PBE level of DFT.

Computed properties:
Density in g cm⁻³: 13.989

The structure in CIF format:
```
data_Pa2ZnRe
_cell_length_a 3.153
_cell_length_b 3.153
_cell_length_c 8.522
_cell_angle_alpha 90.00
_cell_angle_beta 90.00
_cell_angle_gamma 90.00
_space_group_name_H-M_alt 'P 1'
_space_group_IT_number 1
loop_
_space_group_symop_operation_xyz
'x,y,z'
loop_
_atom_site_label
_atom_site_type_symbol
_atom_site_fract_x
_atom_site_fract_y
_atom_site_fract_z
Pa1 Pa 0.000 0.000 0.226
Pa2 Pa 0.000 0.000 0.774
Zn1 Zn 0.500 0.500 0.500
Re1 Re 0.500 0.500 0.000
```

=====

Q.
Computed, not measured: an optimized crystal structure of Pa2ZnRe at the PBE level of DFT.

Computed properties:
Density in g cm⁻³: 14.613

The structure in CIF format:
```
data_Pa2ZnRe
_cell_length_a 4.452
_cell_length_b 4.452
_cell_length_c 4.092
_cell_angle_alpha 90.00
_cell_angle_beta 90.00
_cell_angle_gamma 90.00
_space_group_name_H-M_alt 'P 1'
_space_group_IT_number 1
loop_
_space_group_symop_operation_xyz
'x,y,z'
loop_
_atom_site_label
_atom_site_type_symbol
_atom_site_fract_x
_atom_site_fract_y
_atom_site_fract_z
Pa1 Pa 0.000 0.500 0.000
Pa2 Pa 0.500 0.000 0.000
Zn1 Zn 0.000 0.000 0.500
Re1 Re 0.500 0.500 0.500
```

=====

R.
Computed, not measured: an optimized crystal structure of Pa2ZnRe at the PBE level of DFT.

Computed properties:
Density in g cm⁻³: 13.289

The structure in CIF format:
```
data_Pa2ZnRe
_cell_length_a 11.003
_cell_length_b 11.003
_cell_length_c 11.003
_cell_angle_alpha 16.09
_cell_angle_beta 16.09
_cell_angle_gamma 16.09
_space_group_name_H-M_alt 'P 1'
_space_group_IT_number 1
loop_
_space_group_symop_operation_xyz
'x,y,z'
loop_
_atom_site_label
_atom_site_type_symbol
_atom_site_fract_x
_atom_site_fract_y
_atom_site_fract_z
Pa1 Pa 0.095 0.095 0.095
Pa2 Pa 0.905 0.905 0.905
Zn1 Zn 0.000 0.000 0.000
Re1 Re 0.500 0.500 0.500
```

=====

Most stable structure: P

=====

P.
Computed, not measured: an optimized crystal structure of ZrPa2Re at the PBE level of DFT.

Computed properties:
Density in g cm⁻³: 13.385

The structure in CIF format:
```
data_ZrPa2Re
_cell_length_a 3.241
_cell_length_b 3.241
_cell_length_c 8.735
_cell_angle_alpha 90.00
_cell_angle_beta 90.00
_cell_angle_gamma 90.00
_space_group_name_H-M_alt 'P 1'
_space_group_IT_number 1
loop_
_space_group_symop_operation_xyz
'x,y,z'
loop_
_atom_site_label
_atom_site_type_symbol
_atom_site_fract_x
_atom_site_fract_y
_atom_site_fract_z
Zr1 Zr 0.000 0.000 0.000
Pa1 Pa 0.500 0.500 0.287
Pa2 Pa 0.500 0.500 0.713
Re1 Re 0.000 0.000 0.500
```

=====

Q.
Computed, not measured: an optimized crystal structure of ZrPa2Re at the PBE level of DFT.

Computed properties:
Density in g cm⁻³: 13.872

The structure in CIF format:
```
data_ZrPa2Re
_cell_length_a 10.837
_cell_length_b 10.837
_cell_length_c 10.837
_cell_angle_alpha 16.40
_cell_angle_beta 16.40
_cell_angle_gamma 16.40
_space_group_name_H-M_alt 'P 1'
_space_group_IT_number 1
loop_
_space_group_symop_operation_xyz
'x,y,z'
loop_
_atom_site_label
_atom_site_type_symbol
_atom_site_fract_x
_atom_site_fract_y
_atom_site_fract_z
Zr1 Zr 0.000 0.000 0.000
Pa1 Pa 0.094 0.094 0.094
Pa2 Pa 0.906 0.906 0.906
Re1 Re 0.500 0.500 0.500
```

=====

Most stable structure: P

=====

P.
Computed, not measured: an optimized crystal structure of Zr2PaRe at the PBE level of DFT.

Computed properties:
Density in g cm⁻³: 12.276

The structure in CIF format:
```
data_Zr2PaRe
_cell_length_a 4.859
_cell_length_b 4.859
_cell_length_c 4.859
_cell_angle_alpha 60.00
_cell_angle_beta 60.00
_cell_angle_gamma 60.00
_space_group_name_H-M_alt 'P 1'
_space_group_IT_number 1
loop_
_space_group_symop_operation_xyz
'x,y,z'
loop_
_atom_site_label
_atom_site_type_symbol
_atom_site_fract_x
_atom_site_fract_y
_atom_site_fract_z
Zr1 Zr 0.250 0.250 0.250
Zr2 Zr 0.750 0.750 0.750
Pa1 Pa 0.000 0.000 0.000
Re1 Re 0.500 0.500 0.500
```

=====

Q.
Computed, not measured: an optimized crystal structure of Zr2PaRe at the PBE level of DFT.

Computed properties:
Density in g cm⁻³: 11.635

The structure in CIF format:
```
data_Zr2PaRe
_cell_length_a 3.282
_cell_length_b 3.282
_cell_length_c 7.947
_cell_angle_alpha 90.00
_cell_angle_beta 90.00
_cell_angle_gamma 90.00
_space_group_name_H-M_alt 'P 1'
_space_group_IT_number 1
loop_
_space_group_symop_operation_xyz
'x,y,z'
loop_
_atom_site_label
_atom_site_type_symbol
_atom_site_fract_x
_atom_site_fract_y
_atom_site_fract_z
Zr1 Zr 0.000 0.000 0.205
Zr2 Zr 0.000 0.000 0.795
Pa1 Pa 0.500 0.500 0.500
Re1 Re 0.500 0.500 0.000
```

=====

Most stable structure: Q

=====

P.
Computed, not measured: an optimized crystal structure of PaRuRh2 at the PBE level of DFT.

Computed properties:
Density in g cm⁻³: 13.419

The structure in CIF format:
```
data_PaRuRh2
_cell_length_a 4.025
_cell_length_b 4.025
_cell_length_c 4.108
_cell_angle_alpha 90.00
_cell_angle_beta 90.00
_cell_angle_gamma 90.00
_space_group_name_H-M_alt 'P 1'
_space_group_IT_number 1
loop_
_space_group_symop_operation_xyz
'x,y,z'
loop_
_atom_site_label
_atom_site_type_symbol
_atom_site_fract_x
_atom_site_fract_y
_atom_site_fract_z
Pa1 Pa 0.000 0.000 0.000
Ru1 Ru 0.500 0.500 0.000
Rh1 Rh 0.000 0.500 0.500
Rh2 Rh 0.500 0.000 0.500
```

=====

Q.
Computed, not measured: an optimized crystal structure of PaRuRh2 at the PBE level of DFT.

Computed properties:
Density in g cm⁻³: 12.899

The structure in CIF format:
```
data_PaRuRh2
_cell_length_a 4.678
_cell_length_b 4.678
_cell_length_c 4.678
_cell_angle_alpha 58.12
_cell_angle_beta 58.12
_cell_angle_gamma 58.12
_space_group_name_H-M_alt 'P 1'
_space_group_IT_number 1
loop_
_space_group_symop_operation_xyz
'x,y,z'
loop_
_atom_site_label
_atom_site_type_symbol
_atom_site_fract_x
_atom_site_fract_y
_atom_site_fract_z
Pa1 Pa 0.000 0.000 0.000
Ru1 Ru 0.500 0.500 0.500
Rh1 Rh 0.269 0.269 0.269
Rh2 Rh 0.731 0.731 0.731
```

=====

Most stable structure: P

=====

P.
Computed, not measured: an optimized crystal structure of PaSbRh2 at the PBE level of DFT.

Computed properties:
Density in g cm⁻³: 11.576

The structure in CIF format:
```
data_PaSbRh2
_cell_length_a 4.444
_cell_length_b 4.444
_cell_length_c 8.780
_cell_angle_alpha 105.96
_cell_angle_beta 105.96
_cell_angle_gamma 84.84
_space_group_name_H-M_alt 'P 1'
_space_group_IT_number 1
loop_
_space_group_symop_operation_xyz
'x,y,z'
loop_
_atom_site_label
_atom_site_type_symbol
_atom_site_fract_x
_atom_site_fract_y
_atom_site_fract_z
Pa1 Pa 0.110 0.110 0.219
Pa2 Pa 0.890 0.890 0.781
Sb1 Sb 0.345 0.345 0.690
Sb2 Sb 0.655 0.655 0.310
Rh1 Rh 0.250 0.750 0.500
Rh2 Rh 0.291 0.291 0.000
Rh3 Rh 0.709 0.709 0.000
Rh4 Rh 0.750 0.250 0.500
```

=====

Q.
Computed, not measured: an optimized crystal structure of PaSbRh2 at the PBE level of DFT.

Computed properties:
Density in g cm⁻³: 11.801

The structure in CIF format:
```
data_PaSbRh2
_cell_length_a 5.086
_cell_length_b 5.086
_cell_length_c 5.086
_cell_angle_alpha 53.38
_cell_angle_beta 53.38
_cell_angle_gamma 53.38
_space_group_name_H-M_alt 'P 1'
_space_group_IT_number 1
loop_
_space_group_symop_operation_xyz
'x,y,z'
loop_
_atom_site_label
_atom_site_type_symbol
_atom_site_fract_x
_atom_site_fract_y
_atom_site_fract_z
Pa1 Pa 0.000 0.000 0.000
Sb1 Sb 0.500 0.500 0.500
Rh1 Rh 0.221 0.221 0.221
Rh2 Rh 0.779 0.779 0.779
```

=====

Most stable structure: Q